Entry 1:
## Ac5Dy4Y (PBE-GGA)

Data for a relaxed Ac5Dy4Y crystal.

Formation energy   0.05 eV per atom
Total magnetization   0.0 μB per formula unit
Calculated volume   377.8 Å³ per cell
DOS(E_F)   14.734 states/eV/cell
Total energy   -4.49 eV per atom

a = 3.873 Å, b = 3.873 Å, c = 25.195 Å
α = 90.00°, β = 90.00°, γ = 90.00°
Positions (direct):
Ac: 0.000 0.000 0.000
Ac: 0.000 0.000 0.200
Ac: 0.000 0.000 0.399
Ac: 0.000 0.000 0.601
Ac: 0.000 0.000 0.800
Dy: 0.500 0.500 0.100
Dy: 0.500 0.500 0.300
Dy: 0.500 0.500 0.700
Dy: 0.500 0.500 0.900
Y: 0.500 0.500 0.500

Entry 2:
## GdHoTh (PBE-GGA)

Data for a relaxed GdHoTh crystal.

Formation energy   0.02 eV per atom
Offset from the most stable computed form   0.000 eV per atom
Total magnetization   7.4 μB per formula unit
Calculated volume   95.8 Å³ per cell
DOS(E_F)   4.977 states/eV/cell
Total energy   -8.67 eV per atom

a = 3.571 Å, b = 3.571 Å, c = 8.675 Å
α = 90.00°, β = 90.00°, γ = 120.00°
Positions (direct):
Gd: 0.000 0.000 0.000
Ho: 0.667 0.333 0.349
Th: 0.333 0.667 0.674

Entry 3:
## RbPaPO6 (PBE-GGA)

Data for a relaxed RbPaPO6 crystal.

Total magnetization   0.8 μB per formula unit
E_form (uncorrected)   -2272 meV per atom
Calculated volume   153.6 Å³ per cell
DOS(E_F)   6.047 states/eV/cell
Total energy   -7.34 eV per atom

a = 5.320 Å, b = 5.320 Å, c = 6.268 Å
α = 90.00°, β = 90.00°, γ = 120.00°
Positions (direct):
Rb: 0.000 0.000 0.000
Pa: 0.667 0.333 0.500
P: 0.333 0.667 0.500
O: 0.062 0.409 0.340
O: 0.062 0.653 0.660
O: 0.347 0.409 0.660
O: 0.347 0.938 0.340
O: 0.591 0.653 0.340
O: 0.591 0.938 0.660

Entry 4:
## TiAl2Hg (PBE-GGA)

Data for a relaxed TiAl2Hg crystal.

Formation energy   0.21 eV per atom
Total magnetization   0.0 μB per formula unit
Calculated volume   154.7 Å³ per cell
DOS(E_F)   4.426 states/eV/cell
Total energy   -3.71 eV per atom

a = 5.941 Å, b = 5.941 Å, c = 5.941 Å
α = 103.22°, β = 103.22°, γ = 122.87°
Positions (direct):
Ti: 0.000 0.000 0.000
Ti: 0.750 0.250 0.500
Al: 0.137 0.625 0.012
Al: 0.375 0.387 0.512
Al: 0.613 0.125 0.988
Al: 0.875 0.863 0.488
Hg: 0.250 0.750 0.500
Hg: 0.500 0.500 0.000